Entry 1:
Nb2GaHW: relaxed, PBE-GGA.

Structure (POSCAR):
```
Nb2GaHW
1.0
4.225 0.000 0.000
0.000 4.225 0.000
0.000 0.000 3.915
Nb Ga H W
2 1 1 1
Cartesian
0.000 2.112 0.000
2.112 0.000 0.000
0.000 0.000 1.958
2.112 2.112 0.000
2.112 2.112 1.958
```

=====

Entry 2:
Nb2ZnGaH PBE-GGA relaxed; energy relative to the lowest polymorph listed for this composition = 0.000 eV/atom
1.0
4.037 0.000 0.000
0.000 4.037 0.000
0.000 0.000 4.233
Nb Zn Ga H
2 1 1 1
Cartesian
0.000 2.018 0.000
2.018 0.000 0.000
0.000 0.000 2.116
2.018 2.018 2.116
0.000 0.000 0.000

=====

Entry 3:
Zr2NbGaH: relaxed, PBE-GGA.

Structure (POSCAR):
```
Zr2NbGaH
1.0
4.536 0.000 0.000
0.000 4.536 0.000
0.000 0.000 3.920
Zr Nb Ga H
2 1 1 1
Cartesian
0.000 2.268 0.000
2.268 0.000 0.000
0.000 0.000 1.960
2.268 2.268 1.960
0.000 0.000 0.000
```

=====

Entry 4:
Nd3GaH PBE-GGA relaxed; energy relative to the lowest polymorph listed for this composition = 0.000 eV/atom
1.0
6.667 0.000 0.000
0.000 6.529 0.000
-1.105 0.000 11.186
Nd Ga H
12 4 4
Cartesian
0.355 0.325 1.754
-0.197 2.939 7.347
1.341 3.496 0.974
0.788 6.298 6.567
1.676 1.056 9.810
2.228 2.209 4.217
3.334 4.320 6.969
3.886 5.474 1.376
4.774 0.231 4.619
4.221 3.033 10.212
5.759 3.590 3.839
5.207 6.204 9.432
1.434 4.509 9.499
1.986 5.285 3.906
3.576 1.244 7.280
4.128 2.021 1.687
-0.524 1.511 10.852
0.029 1.753 5.259
5.533 4.776 5.927
6.086 5.018 0.334

=====

Entry 5:
Nd5Ga2H2: relaxed, PBE-GGA.

Structure (POSCAR):
```
Nd5Ga2H2
1.0
6.180 -2.678 0.000
6.180 2.678 0.000
-1.059 0.000 6.397
Nd Ga H
5 2 2
Cartesian
0.000 0.000 0.000
1.334 0.000 3.385
4.051 0.000 0.649
7.250 0.000 5.748
9.967 0.000 3.012
4.574 0.000 4.229
6.726 0.000 2.168
1.130 0.000 5.671
10.171 0.000 0.726
```

=====

Entry 6:
Nd6Ga2H: relaxed, PBE-GGA.

Structure (POSCAR):
```
Nd6Ga2H
1.0
6.477 0.000 0.000
0.000 8.326 0.000
-6.163 0.000 9.211
Nd Ga H
12 4 2
Cartesian
-2.156 1.333 4.125
-5.237 2.830 8.731
-0.683 5.823 4.091
-3.764 6.667 8.697
0.827 0.292 2.100
-2.254 3.871 6.706
2.569 4.455 2.506
-0.512 8.034 7.111
4.079 1.660 0.515
0.998 2.503 5.120
5.552 5.496 0.481
2.471 6.994 5.086
-3.465 0.989 7.025
-0.384 3.174 2.419
0.699 5.152 6.792
3.780 7.337 2.187
0.157 0.000 4.606
3.239 4.163 0.000
```

=====

Number 1: total DFT energy (no corrections) -7.968 eV per atom. Number 2: total DFT energy (no corrections) -5.641 eV per atom. Number 3: total DFT energy (no corrections) -7.065 eV per atom. Number 4: total DFT energy (no corrections) -4.471 eV per atom. Number 5: total DFT energy (no corrections) -4.461 eV per atom. Number 6: total DFT energy (no corrections) -4.521 eV per atom.